No. 1
A plane-wave DFT calculation with PBE was carried out for an optimized crystal structure of AcLaCo2.

Cell and atoms, written as POSCAR:
```
AcLaCo2
1.0
3.578 0.000 0.000
0.000 3.578 0.000
0.000 0.000 7.138
Ac La Co
1 1 2
Direct
0.000 0.000 0.000
0.000 0.000 0.500
0.500 0.500 0.269
0.500 0.500 0.731
```

Output
The calculation puts the energy above the most stable polymorph in this dataset at 151 meV per atom.

No. 2
A plane-wave DFT calculation with PBE was carried out for an optimized crystal structure of Hf6MgRh5.

Cell and atoms, written as POSCAR:
```
Hf6MgRh5
1.0
7.412 -3.312 0.000
7.412 3.312 0.000
-1.413 0.000 4.391
Hf Mg Rh
6 1 5
Direct
0.075 0.584 0.330
0.236 0.764 0.000
0.416 0.925 0.670
0.584 0.075 0.330
0.764 0.236 0.000
0.925 0.416 0.670
0.500 0.500 0.500
0.000 0.000 0.500
0.174 0.174 0.174
0.353 0.353 0.854
0.647 0.647 0.146
0.826 0.826 0.826
```

no.,ΔE_f (eV/atom)
1,0.136
2,-0.682